Crystalline AsCCl2 at its relaxed geometry. Source: the Alexandria database, functional GGA-PBE.

abc: 9.5871 9.5871 9.5871
angles: 18.20 18.20 18.20
Positions (direct):
1 As 0.0000 0.0000 0.0000
2 C 0.5000 0.5000 0.5000
3 Cl 0.4435 0.4435 0.4435
4 Cl 0.5565 0.5565 0.5565

Calculated values
* M_tot: 0.00 μB/atom
* energy above the most stable polymorph in this dataset: 0.000 eV per formula unit
* crystal system: trigonal
* DOS at the Fermi energy: 1.9 states/eV/cell

=====

Crystalline AsCCl2 at its relaxed geometry. Source: the Alexandria database, functional GGA-PBE.

abc: 4.5891 4.5891 4.5891
angles: 60.00 60.00 60.00
Positions (direct):
1 As 0.0000 0.0000 0.0000
2 C 0.5000 0.5000 0.5000
3 Cl 0.2500 0.2500 0.2500
4 Cl 0.7500 0.7500 0.7500

Calculated values
* M_tot: 0.35 μB/atom
* energy above the most stable polymorph in this dataset: 2.127 eV per formula unit
* crystal system: cubic
* DOS at the Fermi energy: 2.7 states/eV/cell

=====

Question: What is the M_tot in the first record?
Answer: 0.00 μB/atom